[1]
{
  "formula": "SrCaMg2Ti",
  "functional": "PBE",
  "state": "optimized geometry",
  "cell": [[5.5678, 0.0000, 0.0000], [0.0000, 5.5404, 0.0000], [0.0000, 0.0000, 5.5678]],
  "species": ["Mg", "Mg", "Sr", "Ti", "Ca"],
  "fractional_positions": [[0.5000, 0.0000, 0.0000], [0.0000, 0.0000, 0.5000], [0.5000, 0.5000, 0.5000], [0.0000, 0.0000, 0.0000], [0.0000, 0.5000, 0.0000]],
  "n_ef_per_ev_cell": 5.50,
  "formation_enthalpy_0k_ev_per_atom": 0.52,
  "e_tot_ev_per_atom": -2.43,
  "magnetic_moment_mub_per_atom": 0.60
}

[2]
{
  "formula": "SrCaMgTi2",
  "functional": "PBE",
  "state": "optimized geometry",
  "cell": [[-1.6972, 3.8830, -3.2596], [0.8535, -3.4404, -4.5428], [-5.0075, -1.8209, 0.4382]],
  "species": ["Ti", "Ti", "Sr", "Ca", "Mg"],
  "fractional_positions": [[0.0000, 0.0000, 0.5000], [0.5000, 0.0000, 0.0000], [0.5000, 0.5000, 0.5000], [0.0000, 0.5000, 0.0000], [0.0000, 0.0000, 0.0000]],
  "n_ef_per_ev_cell": 7.57,
  "formation_enthalpy_0k_ev_per_atom": 0.90,
  "e_tot_ev_per_atom": -3.31,
  "magnetic_moment_mub_per_atom": 1.08
}